1.
Density functional theory data (PBE) for a relaxed GdDyYAg crystal.

Values from the calculation:
**Total moment**: 8.10 Bohr magnetons per cell
**Crystal system**: cubic
**Formation energy from the elements**: 68 meV/atom
**Symmetry**: F-43m, No. 216

The structure in extended XYZ format:
```
4
Lattice="-0.6081 1.3656 -5.1630 2.4554 -2.8483 -3.8405 -2.8837 -3.1275 -3.2855" Properties=species:S:1:pos:R:3 pbc="T T T"
Y -0.7772 -3.4577 -9.2168
Gd -0.5182 -2.3051 -6.1445
Ag 0.0000 0.0000 0.0000
Dy -0.2591 -1.1526 -3.0723
```


2.
Density functional theory data (PBE) for a relaxed Mg6Zn2Pb crystal.

Values from the calculation:
**Total moment**: 0.00 Bohr magnetons per cell
**Crystal system**: orthorhombic
**Formation energy from the elements**: -38 meV/atom
**Symmetry**: Immm, No. 71

The structure in extended XYZ format:
```
18
Lattice="-3.9642 -5.1854 4.7398 -3.8196 1.3159 -6.9820 7.1981 -2.5739 -2.5753" Properties=species:S:1:pos:R:3 pbc="T T T"
Mg -1.6038 -2.6157 -0.2226
Mg 1.0182 -3.8278 -4.5948
Mg -4.9243 -4.2665 -1.1792
Mg 4.3387 -2.1770 -3.6383
Mg 3.2135 -2.5740 -6.7135
Mg -3.7992 -3.8695 1.8961
Mg -2.1097 -4.4986 -2.8833
Mg 1.5240 -1.9449 -1.9341
Mg 0.0010 -1.9951 -7.1533
Mg -0.5866 -4.4484 2.3358
Mg 0.6250 -4.8996 -1.0918
Mg -1.2106 -1.5439 -3.7257
Zn 2.8896 -4.3536 -2.5179
Zn -3.4753 -2.0899 -2.2996
Zn 1.1337 -2.7202 0.7588
Zn 2.1002 -5.0391 1.4057
Pb 1.6893 -0.6290 -4.7787
Pb 0.0000 0.0000 0.0000
```


3.
Density functional theory data (PBE) for a relaxed TmMgGa3 crystal.

Values from the calculation:
**Total moment**: 0.00 Bohr magnetons per cell
**Crystal system**: orthorhombic
**Formation energy from the elements**: -405 meV/atom
**Symmetry**: Cmcm, No. 63

The structure in extended XYZ format:
```
10
Lattice="-2.4395 -0.4138 3.3564 -2.7522 -1.8570 -2.2292 6.6138 -9.8144 3.5971" Properties=species:S:1:pos:R:3 pbc="T T T"
Tm 0.1768 -1.7170 1.2120
Tm 1.2453 -10.3682 3.5123
Mg 1.0830 -7.3267 1.1791
Mg 0.3391 -4.7585 3.5452
Ga 3.3247 -8.1736 2.7039
Ga -1.9026 -3.9116 2.0203
Ga 4.3657 -10.3089 3.1974
Ga -2.9437 -1.7763 1.5269
Ga 1.5078 -7.1557 4.0992
Ga -0.0858 -4.9294 0.6251
```


4.
Density functional theory data (PBE) for a relaxed Be3SiHg crystal.

Values from the calculation:
**Total moment**: 0.00 Bohr magnetons per cell
**Crystal system**: cubic
**Symmetry**: Pm-3m, No. 221

The structure in extended XYZ format:
```
5
Lattice="4.2958 0.0000 0.0000 0.0000 4.2958 0.0000 0.0000 0.0000 4.2958" Properties=species:S:1:pos:R:3 pbc="T T T"
Be 0.0000 2.1479 0.0000
Be 0.0000 0.0000 2.1479
Be 2.1479 0.0000 0.0000
Si 0.0000 0.0000 0.0000
Hg 2.1479 2.1479 2.1479
```


5.
Density functional theory data (PBE) for a relaxed Ce2PmNdN4 crystal.

Values from the calculation:
**Total moment**: 0.01 Bohr magnetons per cell
**Crystal system**: monoclinic
**Symmetry**: P2/m, No. 10

The structure in extended XYZ format:
```
8
Lattice="-3.2225 0.2135 -1.5840 -1.3336 -5.7660 1.9361 -1.8403 4.1090 4.2977" Properties=species:S:1:pos:R:3 pbc="T T T"
Ce -2.5314 2.1612 1.3568
Ce -1.5870 -0.8285 3.1169
Pm 0.0000 0.0000 0.0000
Nd -2.2781 -2.7763 0.1760
N -2.4341 -0.2684 0.8313
N -3.9624 -1.1751 3.8184
N -1.6767 1.6146 3.6287
N -1.4973 -3.2716 2.6051
```


6.
Density functional theory data (PBE) for a relaxed AlP2CCl crystal.

Values from the calculation:
**Total moment**: 0.32 Bohr magnetons per cell
**Crystal system**: tetragonal
**Symmetry**: P4/mmm, No. 123

The structure in extended XYZ format:
```
5
Lattice="-2.2986 3.3923 -2.3446 -3.7550 -0.6123 2.7953 1.6370 3.0980 2.8776" Properties=species:S:1:pos:R:3 pbc="T T T"
P -1.8775 -0.3061 1.3977
P -1.1493 1.6962 -1.1723
C -2.2083 2.9390 1.6641
Al 0.0000 0.0000 0.0000
Cl 0.8185 1.5490 1.4388
```


7.
Density functional theory data (PBE) for a relaxed AcPr5Ho4 crystal.

Values from the calculation:
**Total moment**: 0.00 Bohr magnetons per cell
**Crystal system**: tetragonal
**Formation energy from the elements**: 28 meV/atom
**Symmetry**: P4/mmm, No. 123

The structure in extended XYZ format:
```
10
Lattice="-3.2475 0.0526 1.7692 0.6315 -3.4192 1.2607 11.4003 9.7148 20.6372" Properties=species:S:1:pos:R:3 pbc="T T T"
Ac 0.0000 0.0000 0.0000
Pr -0.0557 -0.6162 3.7819
Pr 2.1746 1.2844 7.8194
Pr 4.3922 3.1741 11.8336
Pr 6.6097 5.0637 15.8478
Pr 8.8400 6.9643 19.8853
Ho 2.3703 2.0198 4.2908
Ho 4.5891 3.9106 8.3073
Ho 6.8112 5.8042 12.3299
Ho 9.0300 7.6949 16.3465
```


8.
Density functional theory data (PBE) for a relaxed Ba2MgTlNi crystal.

Values from the calculation:
**Total moment**: 0.00 Bohr magnetons per cell
**Crystal system**: tetragonal
**Formation energy from the elements**: -49 meV/atom
**Symmetry**: P4/mmm, No. 123

The structure in extended XYZ format:
```
5
Lattice="6.0091 0.0000 0.0000 0.0000 6.0091 0.0000 0.0000 0.0000 5.0817" Properties=species:S:1:pos:R:3 pbc="T T T"
Mg 3.0046 3.0046 2.5408
Ni 0.0000 0.0000 0.0000
Tl 0.0000 0.0000 2.5408
Ba 0.0000 3.0046 0.0000
Ba 3.0046 0.0000 0.0000
```


9.
Density functional theory data (PBE) for a relaxed PmNdHf crystal.

Values from the calculation:
**Total moment**: 0.00 Bohr magnetons per cell
**Crystal system**: tetragonal
**Formation energy from the elements**: 165 meV/atom
**Symmetry**: I4mm, No. 107

The structure in extended XYZ format:
```
3
Lattice="3.3996 0.0000 0.0000 0.0000 3.3996 0.0000 -1.6998 -1.6998 7.7407" Properties=species:S:1:pos:R:3 pbc="T T T"
Hf 1.6998 1.6998 2.5946
Nd 0.0000 0.0000 0.2018
Pm 0.0000 0.0000 4.9443
```


10.
Density functional theory data (PBE) for a relaxed CaZr2Br crystal.

Values from the calculation:
**Total moment**: 0.00 Bohr magnetons per cell
**Crystal system**: orthorhombic
**Symmetry**: Imm2, No. 44

The structure in extended XYZ format:
```
4
Lattice="6.3246 0.0092 -0.0025 2.5982 5.7663 0.0025 -3.4641 -4.4284 2.8965" Properties=species:S:1:pos:R:3 pbc="T T T"
Ca 2.0186 2.2558 1.4495
Br 4.6253 2.9938 0.0000
Zr 8.6756 5.6155 0.0000
Zr 3.5233 -0.8549 1.4470
```


11.
Density functional theory data (PBE) for a relaxed LaTbSb crystal.

Values from the calculation:
**Total moment**: 0.00 Bohr magnetons per cell
**Crystal system**: trigonal
**Symmetry**: P3m1, No. 156

The structure in extended XYZ format:
```
3
Lattice="-0.8491 -1.5847 3.8022 -0.0500 -4.7540 -1.9926 4.3972 1.9894 1.8111" Properties=species:S:1:pos:R:3 pbc="T T T"
Sb 2.7085 -0.6433 1.4668
Tb -0.1026 -0.1915 0.4595
La 0.8922 -3.5144 1.6943
```


12.
Density functional theory data (PBE) for a relaxed Nb2ZnN crystal.

Values from the calculation:
**Total moment**: 0.00 Bohr magnetons per cell
**Crystal system**: cubic
**Symmetry**: Fm-3m, No. 225

The structure in extended XYZ format:
```
4
Lattice="0.0000 3.0257 3.0257 3.0257 0.0000 3.0257 3.0257 3.0257 0.0000" Properties=species:S:1:pos:R:3 pbc="T T T"
Nb 1.5129 1.5129 1.5129
Nb 4.5386 4.5386 4.5386
Zn 3.0257 3.0257 3.0257
N 0.0000 0.0000 0.0000
```


Asked for E_tot across the records above, the calculation gives -6.93; -1.80; -3.43; -2.58; -8.31; -3.49; -4.60; -2.77; -6.33; -5.17; -5.08; -6.82 eV/atom in order.